# 1
## Nd4SnPd (GGA-PBE)

Data for Nd4SnPd after structural relaxation.

abc: 5.559 7.161 8.947
angles: 90.00 99.16 90.00
Fractional positions:
Nd1 0.154 0.250 0.049
Nd2 0.210 0.750 0.368
Nd3 0.321 0.522 0.734
Nd4 0.321 0.978 0.734
Nd5 0.679 0.022 0.266
Nd6 0.679 0.478 0.266
Nd7 0.790 0.250 0.632
Nd8 0.846 0.750 0.951
Sn1 0.228 0.250 0.417
Sn2 0.772 0.750 0.583
Pd1 0.356 0.750 0.056
Pd2 0.644 0.250 0.944

## Properties
Offset from the most stable computed form (meV/atom): 0
Fermi-level density of states (states/eV/cell): 15.7
Density (g/cm³): 7.6
V (A^3/atom): 29.3
Formation energy from the elements (eV/atom): -0.500

=====

# 2
## NdSn2Pd9 (GGA-PBE)

Data for NdSn2Pd9 after structural relaxation.

abc: 4.116 4.116 12.169
angles: 90.00 90.00 90.00
Fractional positions:
Nd1 0.000 0.000 0.000
Sn1 0.000 0.000 0.337
Sn2 0.000 0.000 0.663
Pd1 0.000 0.500 0.178
Pd2 0.000 0.500 0.500
Pd3 0.000 0.500 0.822
Pd4 0.500 0.000 0.178
Pd5 0.500 0.000 0.500
Pd6 0.500 0.000 0.822
Pd7 0.500 0.500 0.000
Pd8 0.500 0.500 0.339
Pd9 0.500 0.500 0.661

## Properties
Fermi-level density of states (states/eV/cell): 4.0
Density (g/cm³): 10.8
V (A^3/atom): 17.2
Formation energy from the elements (eV/atom): -0.586

=====

# 3
## Nd3Sn7Pd4 (GGA-PBE)

Data for Nd3Sn7Pd4 after structural relaxation.

abc: 8.909 8.909 10.242
angles: 123.38 123.38 29.41
Fractional positions:
Nd1 0.000 0.000 0.000
Nd2 0.326 0.326 0.325
Nd3 0.674 0.674 0.675
Sn1 0.000 0.000 0.500
Sn2 0.169 0.169 0.434
Sn3 0.310 0.310 0.944
Sn4 0.493 0.493 0.258
Sn5 0.507 0.507 0.742
Sn6 0.690 0.690 0.056
Sn7 0.831 0.831 0.566
Pd1 0.127 0.127 0.860
Pd2 0.347 0.347 0.723
Pd3 0.653 0.653 0.277
Pd4 0.873 0.873 0.140

## Properties
Fermi-level density of states (states/eV/cell): 5.9
Density (g/cm³): 8.5
V (A^3/atom): 23.5
Formation energy from the elements (eV/atom): -0.711

=====

# 4
## Nd2Sn3Pd5 (GGA-PBE)

Data for Nd2Sn3Pd5 after structural relaxation.

abc: 12.982 12.982 7.207
angles: 90.00 90.00 159.89
Fractional positions:
Nd1 0.021 0.979 0.500
Nd2 0.319 0.681 0.465
Nd3 0.681 0.319 0.965
Nd4 0.979 0.021 0.000
Sn1 0.104 0.896 0.822
Sn2 0.286 0.714 0.909
Sn3 0.439 0.561 0.694
Sn4 0.561 0.439 0.194
Sn5 0.714 0.286 0.409
Sn6 0.896 0.104 0.322
Pd1 0.119 0.881 0.232
Pd2 0.199 0.801 0.631
Pd3 0.228 0.772 0.216
Pd4 0.383 0.617 0.026
Pd5 0.457 0.543 0.312
Pd6 0.543 0.457 0.812
Pd7 0.617 0.383 0.526
Pd8 0.772 0.228 0.716
Pd9 0.801 0.199 0.131
Pd10 0.881 0.119 0.732

## Properties
Offset from the most stable computed form (meV/atom): 0
Fermi-level density of states (states/eV/cell): 10.0
Density (g/cm³): 9.4
V (A^3/atom): 20.9
Formation energy from the elements (eV/atom): -0.734

=====

# 5
## Nd2Sn3Pd4 (GGA-PBE)

Data for Nd2Sn3Pd4 after structural relaxation.

abc: 8.819 8.819 7.541
angles: 90.00 90.00 138.43
Fractional positions:
Nd1 0.105 0.895 0.912
Nd2 0.395 0.605 0.412
Nd3 0.605 0.395 0.588
Nd4 0.895 0.105 0.088
Sn1 0.000 0.000 0.500
Sn2 0.012 0.488 0.750
Sn3 0.488 0.012 0.250
Sn4 0.500 0.500 0.000
Sn5 0.512 0.988 0.750
Sn6 0.988 0.512 0.250
Pd1 0.169 0.831 0.515
Pd2 0.182 0.318 0.750
Pd3 0.318 0.182 0.250
Pd4 0.331 0.669 0.015
Pd5 0.669 0.331 0.985
Pd6 0.682 0.818 0.750
Pd7 0.818 0.682 0.250
Pd8 0.831 0.169 0.485

## Properties
Fermi-level density of states (states/eV/cell): 9.2
Density (g/cm³): 9.1
V (A^3/atom): 21.6
Formation energy from the elements (eV/atom): -0.772

=====

# 6
## NdSnPd (GGA-PBE)

Data for NdSnPd after structural relaxation.

abc: 6.219 6.219 6.219
angles: 147.33 147.33 46.88
Fractional positions:
Nd1 0.000 0.000 0.000
Sn1 0.299 0.299 0.000
Pd1 0.680 0.680 0.000

## Properties
Fermi-level density of states (states/eV/cell): 3.1
Density (g/cm³): 8.8
V (A^3/atom): 23.3
Formation energy from the elements (eV/atom): -0.621

=====

# 7
## NdSnPd (GGA-PBE)

Data for NdSnPd after structural relaxation.

abc: 4.746 4.746 3.710
angles: 90.00 90.00 120.00
Fractional positions:
Nd1 0.000 0.000 0.000
Sn1 0.667 0.333 0.500
Pd1 0.333 0.667 0.500

## Properties
Fermi-level density of states (states/eV/cell): 1.0
Density (g/cm³): 8.5
V (A^3/atom): 24.1
Formation energy from the elements (eV/atom): -0.875

=====

# 8
## Nd3Sn4Pd2 (GGA-PBE)

Data for Nd3Sn4Pd2 after structural relaxation.

abc: 6.215 6.215 8.951
angles: 105.80 105.80 44.26
Fractional positions:
Nd1 0.000 0.000 0.000
Nd2 0.369 0.369 0.311
Nd3 0.631 0.631 0.689
Sn1 0.081 0.081 0.393
Sn2 0.295 0.295 0.926
Sn3 0.705 0.705 0.074
Sn4 0.919 0.919 0.607
Pd1 0.307 0.307 0.627
Pd2 0.693 0.693 0.373

## Properties
Fermi-level density of states (states/eV/cell): 4.7
Density (g/cm³): 8.1
V (A^3/atom): 25.6
Formation energy from the elements (eV/atom): -0.807